# 1
First-principles (PBE) data for crystalline CaBePt2 at its relaxed geometry, as listed in Alexandria.

Summary:
Energy relative to the elements, meV per atom: -564

a = 9.5600 Å, b = 3.4694 Å, c = 4.8979 Å
α = 90.00°, β = 109.66°, γ = 90.00°
Closest atoms and distances in Å follow each position.
Space group Cm (No. 8)
One atom of each set of equivalent atoms:
1 Ca 0.0000 0.0000 0.0000  1 Be 2.81, 5 Pt 2.95-3.03
2 Be 0.1969 0.0000 0.5744  4 Pt 2.23-2.31
3 Pt 0.0299 0.5000 0.5227  2 Be 2.31
4 Pt 0.2879 0.5000 0.4015  2 Be 2.23

# 2
First-principles (PBE) data for crystalline AcHoTe2 at its relaxed geometry, as listed in Alexandria.

Summary:
Formation energy (no corrections), eV/atom: -0.9849

a = 4.6271 Å, b = 10.1609 Å, c = 7.1802 Å
α = 90.00°, β = 90.00°, γ = 90.00°
Closest atoms and distances in Å follow each position.
Space group Pmn2_1 (No. 31)
One atom of each set of equivalent atoms:
1 Ac 0.0000 0.0882 0.0000  4 Te 3.22-3.42
2 Ho 0.0000 0.6611 0.8466  4 Te 2.96-3.11
3 Te 0.0000 0.4166 0.1071  3 Ho 2.99-3.11
4 Te 0.0000 0.8059 0.2048  1 Ho 2.96, 3 Ac 3.22-3.32

# 3
First-principles (PBE) data for crystalline K2HgRh at its relaxed geometry, as listed in Alexandria.

Summary:
Energy relative to the elements, meV per atom: 393

a = 3.7183 Å, b = 4.9685 Å, c = 5.9385 Å
α = 90.00°, β = 90.00°, γ = 90.00°
Closest atoms and distances in Å follow each position.
Space group Pmmm (No. 47)
One atom of each set of equivalent atoms:
1 K 0.0000 0.0000 0.2398  2 K 2.85-3.09
2 Hg 0.5000 0.5000 0.5000  2 Rh 2.97
3 Rh 0.5000 0.5000 0.0000  2 Hg 2.97

# 4
First-principles (PBE) data for crystalline La10YEr4 at its relaxed geometry, as listed in Alexandria.

Summary:
Energy relative to the elements, meV per atom: 195

a = 11.6360 Å, b = 11.6360 Å, c = 7.8779 Å
α = 90.00°, β = 90.00°, γ = 90.00°
Closest atoms and distances in Å follow each position.
Space group I4/mmm (No. 139)
One atom of each set of equivalent atoms:
1 La 0.0000 0.2183 0.2120  4 La 3.29-3.59, 1 Y 3.41, 4 Er 3.52-3.60
2 La 0.0000 0.5000 0.2500  4 La 3.29
3 Y 0.0000 0.0000 0.5000  8 La 3.41, 4 Er 3.80
4 Er 0.2309 0.2309 0.5000  8 La 3.52-3.60, 1 Y 3.80

# 5
First-principles (PBE) data for crystalline Er2InAg3 at its relaxed geometry, as listed in Alexandria.

Summary:
Energy relative to the elements, meV per atom: -188

a = 3.7264 Å, b = 4.2168 Å, c = 18.3679 Å
α = 90.00°, β = 90.00°, γ = 90.00°
Closest atoms and distances in Å follow each position.
Space group Imm2 (No. 44)
One atom of each set of equivalent atoms:
1 Er 0.0000 0.0000 0.0000  4 Ag 3.04, 4 In 3.28
2 Er 0.0000 0.5000 0.2604  8 Ag 3.10-3.15
3 In 0.0000 0.0000 0.5915  3 Ag 2.70-2.83
4 Ag 0.0000 0.0000 0.4374  2 Ag 2.69, 1 In 2.83
5 Ag 0.0000 0.5000 0.6833  2 In 2.70, 1 Ag 2.72
6 Ag 0.0000 0.5000 0.8315  3 Ag 2.69-2.72

# 6
First-principles (PBE) data for crystalline Tb3Tl2In3Co at its relaxed geometry, as listed in Alexandria.

Summary:
Energy relative to the elements, meV per atom: -348

a = 7.5473 Å, b = 7.5473 Å, c = 4.4271 Å
α = 90.00°, β = 90.00°, γ = 120.00°
Closest atoms and distances in Å follow each position.
Space group P-62m (No. 189)
One atom of each set of equivalent atoms:
1 Tb 0.0000 0.6162 0.0000  1 Co 2.90, 4 Tl 3.23
2 Tl 0.3333 0.6667 0.5000  3 In 2.98, 6 Tb 3.23
3 In 0.0000 0.2305 0.5000  2 Co 2.82, 2 Tl 2.98, 2 In 3.01
4 Co 0.0000 0.0000 0.0000  6 In 2.82, 3 Tb 2.90

# 7
First-principles (PBE) data for crystalline SmY3Sc4 at its relaxed geometry, as listed in Alexandria.

Summary:
Energy relative to the elements, meV per atom: 36

a = 10.8402 Å, b = 7.0125 Å, c = 6.0262 Å
α = 90.00°, β = 90.00°, γ = 90.00°
Closest atoms and distances in Å follow each position.
Space group Pmn2_1 (No. 31)
One atom of each set of equivalent atoms:
1 Sm 0.0000 0.1365 0.0000  6 Sc 3.35-3.66, 6 Y 3.43-3.58
2 Y 0.0000 0.8652 0.4963  6 Sc 3.36-3.65, 4 Y 3.42-3.44, 2 Sm 3.54-3.58
3 Y 0.2487 0.8644 0.8453  6 Sc 3.36-3.65, 4 Y 3.42-3.56, 2 Sm 3.43
4 Sc 0.0000 0.3851 0.5104  6 Sc 3.31-3.42, 4 Y 3.37-3.65, 2 Sm 3.43-3.54
5 Sc 0.0000 0.6139 0.0095  6 Sc 3.33-3.42, 2 Sm 3.35-3.66, 4 Y 3.37-3.56
6 Sc 0.2489 0.6153 0.3364  6 Sc 3.31-3.42, 5 Y 3.36-3.65, 1 Sm 3.38

# 8
First-principles (PBE) data for crystalline YBe4Ag at its relaxed geometry, as listed in Alexandria.

Summary:
Energy relative to the elements, meV per atom: 145

a = 6.8624 Å, b = 6.8624 Å, c = 6.8624 Å
α = 90.00°, β = 90.00°, γ = 90.00°
Closest atoms and distances in Å follow each position.
Space group F-43m (No. 216)
One atom of each set of equivalent atoms:
1 Y 0.0000 0.0000 0.0000  12 Be 2.84, 4 Ag 2.97
2 Be 0.1267 0.1267 0.3733  6 Be 2.39-2.46
3 Ag 0.2500 0.2500 0.7500  12 Be 2.85, 4 Y 2.97

Number 1: size of the total moment 0.0 μB per formula unit. Number 2: size of the total moment 0.0 μB per formula unit. Number 3: size of the total moment 0.0 μB per formula unit. Number 4: size of the total moment 0.0 μB per formula unit. Number 5: size of the total moment 0.0 μB per formula unit. Number 6: size of the total moment 0.0 μB per formula unit. Number 7: size of the total moment 0.0 μB per formula unit. Number 8: size of the total moment 0.0 μB per formula unit.